ZrTa2Ga2 | GGA-PBEsol | relaxed

Crystal system: tetragonal
N(E_F), states/eV per cell: 5.9
Total DFT energy (no corrections), Ry per atom: -0.62663
V, Å³/f.u.: 85
Space-group type: No. 127
ΔH_f (0 K), eV/atom: -0.35
M_tot, μB per atom: 0.000

Geometry as CIF:
```
data_ZrTa2Ga2
_space_group_name_H-M_alt 'P 1'
_space_group_IT_number 1
_cell_length_a 7.029
_cell_length_b 7.029
_cell_length_c 3.458
_cell_angle_alpha 90.00
_cell_angle_beta 90.00
_cell_angle_gamma 90.00
loop_
_space_group_symop_operation_xyz
'x,y,z'
loop_
_atom_site_label
_atom_site_fract_x
_atom_site_fract_y
_atom_site_fract_z
Zr1 0.000 0.000 0.000
Zr2 0.500 0.500 0.000
Ta1 0.175 0.325 0.500
Ta2 0.325 0.825 0.500
Ta3 0.675 0.175 0.500
Ta4 0.825 0.675 0.500
Ga1 0.124 0.624 0.000
Ga2 0.376 0.124 0.000
Ga3 0.624 0.876 0.000
Ga4 0.876 0.376 0.000
```